# Tl3Ga3Hg8, relaxed, DFT PBE-GGA
# - Crystal system: orthorhombic
# - Formation energy from the elements: 23 meV/atom
# - Calculated volume: 26.36 Å³/atom
data_Tl3Ga3Hg8
_chemical_formula_sum 'Tl6 Ga6 Hg16'
_cell_length_a 5.352
_cell_length_b 10.243
_cell_length_c 13.464
_cell_angle_alpha 90.00
_cell_angle_beta 90.00
_cell_angle_gamma 90.00
_space_group_name_H-M_alt 'I m m m'
_space_group_IT_number 71
_space_group_name_Hall '-I 2 2'
loop_
_atom_site_label
_atom_site_type_symbol
_atom_site_fract_x
_atom_site_fract_y
_atom_site_fract_z
Tl1 Tl 0.000 0.000 0.000
Tl2 Tl 0.000 0.000 0.272
Ga1 Ga 0.000 0.131 0.500
Ga2 Ga 0.000 0.500 0.000
Hg1 Hg 0.000 0.301 0.146
Hg2 Hg 0.000 0.355 0.373

=====

# Tl4GaHg12, relaxed, DFT PBE-GGA
# - Crystal system: cubic
# - Formation energy from the elements: 3 meV/atom
# - Calculated volume: 27.79 Å³/atom
data_Tl4GaHg12
_chemical_formula_sum 'Tl8 Ga2 Hg24'
_cell_length_a 9.813
_cell_length_b 9.813
_cell_length_c 9.813
_cell_angle_alpha 90.00
_cell_angle_beta 90.00
_cell_angle_gamma 90.00
_space_group_name_H-M_alt 'I m -3 m'
_space_group_IT_number 229
_space_group_name_Hall '-I 4 2 3'
loop_
_atom_site_label
_atom_site_type_symbol
_atom_site_fract_x
_atom_site_fract_y
_atom_site_fract_z
Tl1 Tl 0.250 0.250 0.250
Ga1 Ga 0.000 0.000 0.000
Hg1 Hg 0.000 0.000 0.288
Hg2 Hg 0.000 0.250 0.500

=====

# Tl15GaHg4, relaxed, DFT PBE-GGA
# - Crystal system: tetragonal
# - Formation energy from the elements: 31 meV/atom
# - Calculated volume: 29.16 Å³/atom
data_Tl15GaHg4
_chemical_formula_sum 'Tl15 Ga1 Hg4'
_cell_length_a 4.868
_cell_length_b 4.868
_cell_length_c 24.615
_cell_angle_alpha 90.00
_cell_angle_beta 90.00
_cell_angle_gamma 90.00
_space_group_name_H-M_alt 'P 4/m m m'
_space_group_IT_number 123
_space_group_name_Hall '-P 4 2'
loop_
_atom_site_label
_atom_site_type_symbol
_atom_site_fract_x
_atom_site_fract_y
_atom_site_fract_z
Tl1 Tl 0.000 0.000 0.000
Tl2 Tl 0.000 0.000 0.198
Tl3 Tl 0.000 0.000 0.400
Tl4 Tl 0.000 0.500 0.096
Tl5 Tl 0.000 0.500 0.299
Tl6 Tl 0.000 0.500 0.500
Ga1 Ga 0.500 0.500 0.000
Hg1 Hg 0.500 0.500 0.198
Hg2 Hg 0.500 0.500 0.398

=====

# Tl4GaHg2, relaxed, DFT PBE-GGA
# - Crystal system: tetragonal
# - Formation energy from the elements: 146 meV/atom
# - Energy above the most stable polymorph in this dataset: 0.086 eV per atom
# - Calculated volume: 34.56 Å³/atom
data_Tl4GaHg2
_chemical_formula_sum 'Tl8 Ga2 Hg4'
_cell_length_a 5.571
_cell_length_b 5.571
_cell_length_c 15.590
_cell_angle_alpha 90.00
_cell_angle_beta 90.00
_cell_angle_gamma 90.00
_space_group_name_H-M_alt 'I 4/m m m'
_space_group_IT_number 139
_space_group_name_Hall '-I 4 2'
loop_
_atom_site_label
_atom_site_type_symbol
_atom_site_fract_x
_atom_site_fract_y
_atom_site_fract_z
Tl1 Tl 0.000 0.000 0.186
Tl2 Tl 0.000 0.500 0.000
Ga1 Ga 0.000 0.000 0.000
Hg1 Hg 0.000 0.000 0.381

=====

# Tl2GaHg6, relaxed, DFT PBE-GGA
# - Crystal system: monoclinic
# - Formation energy from the elements: 18 meV/atom
# - Energy above the most stable polymorph in this dataset: 0.000 eV per atom
# - Calculated volume: 28.07 Å³/atom
data_Tl2GaHg6
_chemical_formula_sum 'Tl4 Ga2 Hg12'
_cell_length_a 3.564
_cell_length_b 15.479
_cell_length_c 9.798
_cell_angle_alpha 90.00
_cell_angle_beta 110.82
_cell_angle_gamma 90.00
_space_group_name_H-M_alt 'P 1 21/c 1'
_space_group_IT_number 14
_space_group_name_Hall '-P 2ybc'
loop_
_atom_site_label
_atom_site_type_symbol
_atom_site_fract_x
_atom_site_fract_y
_atom_site_fract_z
Tl1 Tl 0.245 0.206 0.247
Ga1 Ga 0.000 0.000 0.500
Hg1 Hg 0.081 0.635 0.580
Hg2 Hg 0.319 0.525 0.317
Hg3 Hg 0.425 0.644 0.925

=====

# TlGa3Hg, relaxed, DFT PBE-GGA
# - Crystal system: cubic
# - Formation energy from the elements: 392 meV/atom
# - Energy above the most stable polymorph in this dataset: 0.345 eV per atom
# - Calculated volume: 29.30 Å³/atom
data_TlGa3Hg
_chemical_formula_sum 'Tl1 Ga3 Hg1'
_cell_length_a 5.271
_cell_length_b 5.271
_cell_length_c 5.271
_cell_angle_alpha 90.00
_cell_angle_beta 90.00
_cell_angle_gamma 90.00
_space_group_name_H-M_alt 'P m -3 m'
_space_group_IT_number 221
_space_group_name_Hall '-P 4 2 3'
loop_
_atom_site_label
_atom_site_type_symbol
_atom_site_fract_x
_atom_site_fract_y
_atom_site_fract_z
Tl1 Tl 0.000 0.000 0.000
Ga1 Ga 0.000 0.500 0.500
Hg1 Hg 0.500 0.500 0.500

=====

# Tl2GaHg, relaxed, DFT PBE-GGA
# - Crystal system: tetragonal
# - Formation energy from the elements: 83 meV/atom
# - Calculated volume: 26.58 Å³/atom
data_Tl2GaHg
_chemical_formula_sum 'Tl2 Ga1 Hg1'
_cell_length_a 4.751
_cell_length_b 4.751
_cell_length_c 4.709
_cell_angle_alpha 90.00
_cell_angle_beta 90.00
_cell_angle_gamma 90.00
_space_group_name_H-M_alt 'P 4/m m m'
_space_group_IT_number 123
_space_group_name_Hall '-P 4 2'
loop_
_atom_site_label
_atom_site_type_symbol
_atom_site_fract_x
_atom_site_fract_y
_atom_site_fract_z
Tl1 Tl 0.000 0.500 0.000
Ga1 Ga 0.000 0.000 0.500
Hg1 Hg 0.500 0.500 0.500

=====

# TlGaHg14, relaxed, DFT PBE-GGA
# - Crystal system: orthorhombic
# - Formation energy from the elements: 13 meV/atom
# - Calculated volume: 27.61 Å³/atom
data_TlGaHg14
_chemical_formula_sum 'Tl2 Ga2 Hg28'
_cell_length_a 10.704
_cell_length_b 6.837
_cell_length_c 12.071
_cell_angle_alpha 90.00
_cell_angle_beta 90.00
_cell_angle_gamma 90.00
_space_group_name_H-M_alt 'A m m 2'
_space_group_IT_number 38
_space_group_name_Hall 'A 2 -2'
loop_
_atom_site_label
_atom_site_type_symbol
_atom_site_fract_x
_atom_site_fract_y
_atom_site_fract_z
Tl1 Tl 0.000 0.000 0.000
Ga1 Ga 0.000 0.000 0.464
Hg1 Hg 0.000 0.248 0.742
Hg2 Hg 0.238 0.000 0.648
Hg3 Hg 0.255 0.250 0.407
Hg4 Hg 0.260 0.000 0.163
Hg5 Hg 0.500 0.000 0.494
Hg6 Hg 0.500 0.000 0.998
Hg7 Hg 0.500 0.237 0.743

=====

# Tl2Ga3Hg4, relaxed, DFT PBE-GGA
# - Crystal system: monoclinic
# - Formation energy from the elements: 41 meV/atom
# - Calculated volume: 25.35 Å³/atom
data_Tl2Ga3Hg4
_chemical_formula_sum 'Tl4 Ga6 Hg8'
_cell_length_a 6.029
_cell_length_b 9.332
_cell_length_c 8.377
_cell_angle_alpha 90.00
_cell_angle_beta 104.54
_cell_angle_gamma 90.00
_space_group_name_H-M_alt 'C 1 2/m 1'
_space_group_IT_number 12
_space_group_name_Hall '-C 2y'
loop_
_atom_site_label
_atom_site_type_symbol
_atom_site_fract_x
_atom_site_fract_y
_atom_site_fract_z
Tl1 Tl 0.079 0.000 0.236
Ga1 Ga 0.000 0.500 0.000
Ga2 Ga 0.250 0.250 0.000
Hg1 Hg 0.122 0.338 0.351

=====

# Tl2GaHg, relaxed, DFT PBE-GGA
# - Crystal system: trigonal
# - Formation energy from the elements: 124 meV/atom
# - Calculated volume: 27.87 Å³/atom
data_Tl2GaHg
_chemical_formula_sum 'Tl6 Ga3 Hg3'
_cell_length_a 3.3494
_cell_length_b 3.3494
_cell_length_c 34.4215
_cell_angle_alpha 90.00
_cell_angle_beta 90.00
_cell_angle_gamma 120.00
_space_group_name_H-M_alt 'R -3 m'
_space_group_IT_number 166
_space_group_name_Hall '-R 3 2"'
loop_
_atom_site_label
_atom_site_type_symbol
_atom_site_fract_x
_atom_site_fract_y
_atom_site_fract_z
Tl1 Tl 0.0000 0.0000 0.0846
Ga1 Ga 0.0000 0.0000 0.0000
Hg1 Hg 0.0000 0.0000 0.5000

=====

# Tl3Ga12Hg5, relaxed, DFT PBE-GGA
# - Crystal system: cubic
# - Formation energy from the elements: 222 meV/atom
# - Calculated volume: 27.12 Å³/atom
data_Tl3Ga12Hg5
_chemical_formula_sum 'Tl24 Ga96 Hg40'
_cell_length_a 16.311
_cell_length_b 16.311
_cell_length_c 16.311
_cell_angle_alpha 90.00
_cell_angle_beta 90.00
_cell_angle_gamma 90.00
_space_group_name_H-M_alt 'I a -3 d'
_space_group_IT_number 230
_space_group_name_Hall '-I 4bd 2c 3'
loop_
_atom_site_label
_atom_site_type_symbol
_atom_site_fract_x
_atom_site_fract_y
_atom_site_fract_z
Tl1 Tl 0.000 0.250 0.125
Ga1 Ga 0.013 0.076 0.652
Hg1 Hg 0.000 0.000 0.000
Hg2 Hg 0.000 0.250 0.375

=====

# Tl2GaHg, relaxed, DFT PBE-GGA
# - Crystal system: triclinic
# - Formation energy from the elements: 82 meV/atom
# - Calculated volume: 27.64 Å³/atom
data_Tl2GaHg
_chemical_formula_sum 'Tl2 Ga1 Hg1'
_cell_length_a 3.391
_cell_length_b 3.649
_cell_length_c 9.794
_cell_angle_alpha 89.97
_cell_angle_beta 89.94
_cell_angle_gamma 65.83
_space_group_name_H-M_alt 'P 1'
_space_group_IT_number 1
_space_group_name_Hall 'P 1'
loop_
_atom_site_label
_atom_site_type_symbol
_atom_site_fract_x
_atom_site_fract_y
_atom_site_fract_z
Tl1 Tl 0.000 0.000 0.000
Tl2 Tl 0.001 0.000 0.474
Ga1 Ga 0.349 0.401 0.237
Hg1 Hg 0.326 0.418 0.737

=====

# TlGa2Hg7, relaxed, DFT PBE-GGA
# - Crystal system: orthorhombic
# - Formation energy from the elements: 98 meV/atom
# - Calculated volume: 29.98 Å³/atom
data_TlGa2Hg7
_chemical_formula_sum 'Tl2 Ga4 Hg14'
_cell_length_a 8.719
_cell_length_b 15.234
_cell_length_c 4.514
_cell_angle_alpha 90.00
_cell_angle_beta 90.00
_cell_angle_gamma 90.00
_space_group_name_H-M_alt 'C m m m'
_space_group_IT_number 65
_space_group_name_Hall '-C 2 2'
loop_
_atom_site_label
_atom_site_type_symbol
_atom_site_fract_x
_atom_site_fract_y
_atom_site_fract_z
Tl1 Tl 0.000 0.000 0.000
Ga1 Ga 0.000 0.319 0.500
Hg1 Hg 0.000 0.221 0.000
Hg2 Hg 0.000 0.500 0.500
Hg3 Hg 0.195 0.119 0.500

=====

# TlGa2Hg4, relaxed, DFT PBE-GGA
# - Crystal system: tetragonal
# - Formation energy from the elements: 220 meV/atom
# - Calculated volume: 34.73 Å³/atom
data_TlGa2Hg4
_chemical_formula_sum 'Tl2 Ga4 Hg8'
_cell_length_a 5.880
_cell_length_b 5.880
_cell_length_c 14.062
_cell_angle_alpha 90.00
_cell_angle_beta 90.00
_cell_angle_gamma 90.00
_space_group_name_H-M_alt 'I 4/m m m'
_space_group_IT_number 139
_space_group_name_Hall '-I 4 2'
loop_
_atom_site_label
_atom_site_type_symbol
_atom_site_fract_x
_atom_site_fract_y
_atom_site_fract_z
Tl1 Tl 0.000 0.000 0.000
Ga1 Ga 0.000 0.000 0.410
Hg1 Hg 0.000 0.000 0.215
Hg2 Hg 0.000 0.500 0.000

=====

# Tl2Ga2Hg, relaxed, DFT PBE-GGA
# - Crystal system: tetragonal
# - Formation energy from the elements: 64 meV/atom
# - Energy above the most stable polymorph in this dataset: 0.016 eV per atom
# - Calculated volume: 26.52 Å³/atom
data_Tl2Ga2Hg
_chemical_formula_sum 'Tl4 Ga4 Hg2'
_cell_length_a 3.798
_cell_length_b 3.798
_cell_length_c 18.387
_cell_angle_alpha 90.00
_cell_angle_beta 90.00
_cell_angle_gamma 90.00
_space_group_name_H-M_alt 'I 4/m m m'
_space_group_IT_number 139
_space_group_name_Hall '-I 4 2'
loop_
_atom_site_label
_atom_site_type_symbol
_atom_site_fract_x
_atom_site_fract_y
_atom_site_fract_z
Tl1 Tl 0.000 0.000 0.106
Ga1 Ga 0.000 0.500 0.250
Hg1 Hg 0.000 0.000 0.500

=====

# Tl5Ga2Hg12, relaxed, DFT PBE-GGA
# - Crystal system: monoclinic
# - Formation energy from the elements: 14 meV/atom
# - Calculated volume: 27.40 Å³/atom
data_Tl5Ga2Hg12
_chemical_formula_sum 'Tl10 Ga4 Hg24'
_cell_length_a 19.110
_cell_length_b 6.625
_cell_length_c 8.681
_cell_angle_alpha 90.00
_cell_angle_beta 108.67
_cell_angle_gamma 90.00
_space_group_name_H-M_alt 'C 1 2/m 1'
_space_group_IT_number 12
_space_group_name_Hall '-C 2y'
loop_
_atom_site_label
_atom_site_type_symbol
_atom_site_fract_x
_atom_site_fract_y
_atom_site_fract_z
Tl1 Tl 0.000 0.000 0.000
Tl2 Tl 0.169 0.500 0.689
Tl3 Tl 0.239 0.000 0.614
Ga1 Ga 0.000 0.293 0.500
Hg1 Hg 0.038 0.500 0.870
Hg2 Hg 0.091 0.000 0.724
Hg3 Hg 0.107 0.241 0.325
Hg4 Hg 0.179 0.239 0.049

=====

# Tl12GaHg3, relaxed, DFT PBE-GGA
# - Crystal system: tetragonal
# - Formation energy from the elements: 41 meV/atom
# - Calculated volume: 29.17 Å³/atom
data_Tl12GaHg3
_chemical_formula_sum 'Tl12 Ga1 Hg3'
_cell_length_a 4.893
_cell_length_b 4.893
_cell_length_c 19.494
_cell_angle_alpha 90.00
_cell_angle_beta 90.00
_cell_angle_gamma 90.00
_space_group_name_H-M_alt 'P 4/m m m'
_space_group_IT_number 123
_space_group_name_Hall '-P 4 2'
loop_
_atom_site_label
_atom_site_type_symbol
_atom_site_fract_x
_atom_site_fract_y
_atom_site_fract_z
Tl1 Tl 0.000 0.000 0.000
Tl2 Tl 0.000 0.000 0.246
Tl3 Tl 0.000 0.000 0.500
Tl4 Tl 0.000 0.500 0.119
Tl5 Tl 0.000 0.500 0.375
Ga1 Ga 0.500 0.500 0.000
Hg1 Hg 0.500 0.500 0.249
Hg2 Hg 0.500 0.500 0.500

=====

# Tl3GaHg5, relaxed, DFT PBE-GGA
# - Crystal system: hexagonal
# - Formation energy from the elements: 15 meV/atom
# - Energy above the most stable polymorph in this dataset: 0.000 eV per atom
# - Calculated volume: 27.68 Å³/atom
data_Tl3GaHg5
_chemical_formula_sum 'Tl3 Ga1 Hg5'
_cell_length_a 8.3283
_cell_length_b 8.3283
_cell_length_c 4.1467
_cell_angle_alpha 90.00
_cell_angle_beta 90.00
_cell_angle_gamma 120.00
_space_group_name_H-M_alt 'P -6 2 m'
_space_group_IT_number 189
_space_group_name_Hall 'P -6 -2'
loop_
_atom_site_label
_atom_site_type_symbol
_atom_site_fract_x
_atom_site_fract_y
_atom_site_fract_z
Tl1 Tl 0.0000 0.6036 0.0000
Ga1 Ga 0.0000 0.0000 0.0000
Hg1 Hg 0.0000 0.2560 0.5000
Hg2 Hg 0.3333 0.6667 0.5000